Record 1
First-principles (GGA-PBE) data for Zr2HgGeO after structural relaxation, as listed in the Alexandria database.

a b c (Å): 5.266 5.266 3.785
angles (deg): 90.00 90.00 90.00
Space group P4/mmm (No. 123)
Asymmetric unit:
Zr1 0.000 0.500 0.000
Hg1 0.000 0.000 0.500
Ge1 0.500 0.500 0.000
O1 0.500 0.500 0.500

Properties
Raw formation energy   0.034 eV/atom
Calculated density   7.463 g/cm³
D(E_F)   3.7 states/eV per cell

Record 2
First-principles (GGA-PBE) data for ZrHgGeO5 after structural relaxation, as listed in the Alexandria database.

a b c (Å): 7.782 8.915 8.046
angles (deg): 90.00 118.27 90.00
Space group C2/c (No. 15)
Asymmetric unit:
Zr1 0.000 0.000 0.000
Hg1 0.000 0.317 0.250
Ge1 0.000 0.337 0.750
O1 0.000 0.078 0.250
O2 0.042 0.223 0.594
O3 0.190 0.470 0.871

Properties
Raw formation energy   -1.922 eV/atom
Calculated density   6.005 g/cm³
D(E_F)   0.0 states/eV per cell

Record 3
First-principles (GGA-PBE) data for Hg2GeOs after structural relaxation, as listed in the Alexandria database.

a b c (Å): 10.481 10.481 4.713
angles (deg): 90.00 90.00 90.00
Space group I-42d (No. 122)
Asymmetric unit:
Hg1 0.001 0.250 0.125
Ge1 0.000 0.000 0.500
Os1 0.000 0.000 0.000

Properties
E_form   532 meV/atom
Calculated density   8.519 g/cm³
D(E_F)   12.8 states/eV per cell

Record 4
First-principles (GGA-PBE) data for HgGe2Os after structural relaxation, as listed in the Alexandria database.

a b c (Å): 6.032 6.032 11.375
angles (deg): 90.00 90.00 90.00
Space group I-42d (No. 122)
Asymmetric unit:
Hg1 0.000 0.000 0.000
Ge1 0.187 0.250 0.625
Os1 0.000 0.000 0.500

Properties
E_form   565 meV/atom
Calculated density   8.603 g/cm³
D(E_F)   12.4 states/eV per cell

Record 5
First-principles (GGA-PBE) data for Hg2GeOs2 after structural relaxation, as listed in the Alexandria database.

a b c (Å): 6.357 6.357 4.569
angles (deg): 90.00 90.00 90.00
Space group P4/mbm (No. 127)
Asymmetric unit:
Hg1 0.173 0.327 0.000
Ge1 0.000 0.000 0.500
Os1 0.139 0.639 0.500

Properties
E_form   521 meV/atom
Calculated density   15.363 g/cm³
D(E_F)   9.2 states/eV per cell

Record 6
First-principles (GGA-PBE) data for Hg2GeOs2 after structural relaxation, as listed in the Alexandria database.

a b c (Å): 3.989 3.989 12.800
angles (deg): 90.00 90.00 90.00
Space group I4/mmm (No. 139)
Asymmetric unit:
Hg1 0.000 0.500 0.250
Ge1 0.000 0.000 0.000
Os1 0.000 0.000 0.411

Properties
E_form   1194 meV/atom
Calculated density   13.930 g/cm³
D(E_F)   15.0 states/eV per cell

Record 7
First-principles (GGA-PBE) data for HgGeOsPd2 after structural relaxation, as listed in the Alexandria database.

a b c (Å): 4.609 4.609 4.617
angles (deg): 90.00 90.00 90.00
Space group P4/mmm (No. 123)
Asymmetric unit:
Hg1 0.000 0.000 0.000
Ge1 0.500 0.500 0.500
Os1 0.500 0.500 0.000
Pd1 0.000 0.500 0.500

Properties
E_form   653 meV/atom
Calculated density   11.451 g/cm³
D(E_F)   0.7 states/eV per cell

Record 8
First-principles (GGA-PBE) data for ReHg2GeOs after structural relaxation, as listed in the Alexandria database.

a b c (Å): 4.884 4.884 4.702
angles (deg): 90.00 90.00 90.00
Space group P4/mmm (No. 123)
Asymmetric unit:
Re1 0.000 0.000 0.000
Hg1 0.000 0.500 0.500
Ge1 0.000 0.000 0.500
Os1 0.500 0.500 0.000

Properties
E_form   2071 meV/atom
Calculated density   12.591 g/cm³
D(E_F)   5.3 states/eV per cell

Record 9
First-principles (GGA-PBE) data for Sn2HgGeOs after structural relaxation, as listed in the Alexandria database.

a b c (Å): 5.409 5.409 5.148
angles (deg): 90.00 90.00 90.00
Space group P4/mmm (No. 123)
Asymmetric unit:
Sn1 0.000 0.500 0.000
Hg1 0.000 0.000 0.000
Ge1 0.500 0.500 0.500
Os1 0.000 0.000 0.500

Properties
E_form   1607 meV/atom
Calculated density   7.728 g/cm³
D(E_F)   5.0 states/eV per cell

Record 10
First-principles (GGA-PBE) data for TcHg2GeOs after structural relaxation, as listed in the Alexandria database.

a b c (Å): 4.998 4.998 4.628
angles (deg): 90.00 90.00 90.00
Space group P4/mmm (No. 123)
Asymmetric unit:
Tc1 0.000 0.000 0.000
Hg1 0.000 0.500 0.500
Ge1 0.500 0.500 0.500
Os1 0.500 0.500 0.000

Properties
E_form   1652 meV/atom
Calculated density   10.944 g/cm³
D(E_F)   4.3 states/eV per cell

Record 11
First-principles (GGA-PBE) data for Th2HgGeOs after structural relaxation, as listed in the Alexandria database.

a b c (Å): 7.598 4.311 8.606
angles (deg): 90.00 114.66 90.00
Space group P2_1/m (No. 11)
Asymmetric unit:
Th1 0.182 0.250 0.347
Th2 0.276 0.250 0.964
Hg1 0.261 0.750 0.671
Ge1 0.480 0.750 0.292
Os1 0.128 0.750 0.103

Properties
E_form   -341 meV/atom
Calculated density   12.024 g/cm³
D(E_F)   8.4 states/eV per cell

Record 12
First-principles (GGA-PBE) data for TiHgGeOs2 after structural relaxation, as listed in the Alexandria database.

a b c (Å): 4.564 4.564 4.644
angles (deg): 90.00 90.00 90.00
Space group P4/mmm (No. 123)
Asymmetric unit:
Ti1 0.000 0.000 0.000
Hg1 0.500 0.500 0.000
Ge1 0.000 0.000 0.500
Os1 0.000 0.500 0.500

Properties
E_form   1139 meV/atom
Calculated density   12.042 g/cm³
D(E_F)   4.8 states/eV per cell

Record 13
First-principles (GGA-PBE) data for ZnHgGeOs2 after structural relaxation, as listed in the Alexandria database.

a b c (Å): 5.030 5.030 4.932
angles (deg): 90.00 90.00 90.00
Space group P4/mmm (No. 123)
Asymmetric unit:
Zn1 0.000 0.000 0.000
Hg1 0.500 0.500 0.500
Ge1 0.500 0.500 0.000
Os1 0.000 0.500 0.500

Properties
E_form   2509 meV/atom
Calculated density   9.570 g/cm³
D(E_F)   6.9 states/eV per cell

Record 14
First-principles (GGA-PBE) data for HgGe2P after structural relaxation, as listed in the Alexandria database.

a b c (Å): 6.841 6.841 6.841
angles (deg): 90.00 90.00 90.00
Space group Fm-3m (No. 225)
Asymmetric unit:
Hg1 0.000 0.000 0.000
Ge1 0.250 0.250 0.250
P1 0.000 0.000 0.500

Properties
E_form   493 meV/atom
Calculated density   7.818 g/cm³
D(E_F)   10.2 states/eV per cell

Record 15
First-principles (GGA-PBE) data for Hg3GeP after structural relaxation, as listed in the Alexandria database.

a b c (Å): 5.128 5.128 5.128
angles (deg): 90.00 90.00 90.00
Space group Pm-3m (No. 221)
Asymmetric unit:
Hg1 0.000 0.000 0.500
Ge1 0.500 0.500 0.500
P1 0.000 0.000 0.000

Properties
E_form   589 meV/atom
Calculated density   8.686 g/cm³
D(E_F)   6.5 states/eV per cell

Record 16
First-principles (GGA-PBE) data for HgGe2P after structural relaxation, as listed in the Alexandria database.

a b c (Å): 6.011 6.011 11.160
angles (deg): 90.00 90.00 90.00
Space group I-42d (No. 122)
Asymmetric unit:
Hg1 0.000 0.000 0.000
Ge1 0.218 0.250 0.625
P1 0.000 0.000 0.500

Properties
E_form   175 meV/atom
Calculated density   6.208 g/cm³
D(E_F)   5.0 states/eV per cell

Record 17
First-principles (GGA-PBE) data for HgGe2P2 after structural relaxation, as listed in the Alexandria database.

a b c (Å): 4.373 4.373 13.222
angles (deg): 90.00 90.00 90.00
Space group I4/mmm (No. 139)
Asymmetric unit:
Hg1 0.000 0.000 0.000
Ge1 0.000 0.500 0.250
P1 0.000 0.000 0.341

Properties
E_form   225 meV/atom
Calculated density   5.357 g/cm³
D(E_F)   2.1 states/eV per cell

Record 18
First-principles (GGA-PBE) data for HgGe5P4 after structural relaxation, as listed in the Alexandria database.

a b c (Å): 7.728 10.808 5.244
angles (deg): 90.00 90.00 90.00
Space group Pmmn (No. 59, origin choice 2)
Asymmetric unit:
Hg1 0.250 0.250 0.170
Ge1 0.010 0.559 0.295
Ge2 0.250 0.750 0.822
P1 0.017 0.750 0.510
P2 0.250 0.009 0.977

Properties
E_form   211 meV/atom
Calculated density   5.215 g/cm³
D(E_F)   4.0 states/eV per cell

Record 19
First-principles (GGA-PBE) data for Hg3GeP after structural relaxation, as listed in the Alexandria database.

a b c (Å): 5.283 5.283 5.283
angles (deg): 90.00 90.00 90.00
Space group Pm-3m (No. 221)
Asymmetric unit:
Hg1 0.000 0.000 0.500
Ge1 0.000 0.000 0.000
P1 0.500 0.500 0.500

Properties
E_form   699 meV/atom
Calculated density   7.943 g/cm³
D(E_F)   2.5 states/eV per cell

Record 20
First-principles (GGA-PBE) data for HgGe2P2 after structural relaxation, as listed in the Alexandria database.

a b c (Å): 8.266 8.266 3.238
angles (deg): 90.00 90.00 90.00
Space group P4/mbm (No. 127)
Asymmetric unit:
Hg1 0.000 0.000 0.000
Ge1 0.147 0.353 0.500
P1 0.098 0.598 0.000

Properties
E_form   357 meV/atom
Calculated density   6.122 g/cm³
D(E_F)   4.2 states/eV per cell

Record 21
First-principles (GGA-PBE) data for HgGeP3 after structural relaxation, as listed in the Alexandria database.

a b c (Å): 4.768 4.768 4.768
angles (deg): 90.00 90.00 90.00
Space group Pm-3m (No. 221)
Asymmetric unit:
Hg1 0.000 0.000 0.000
Ge1 0.500 0.500 0.500
P1 0.000 0.500 0.500

Properties
E_form   984 meV/atom
Calculated density   5.608 g/cm³
D(E_F)   4.5 states/eV per cell

Record 22
First-principles (GGA-PBE) data for HgGe2P after structural relaxation, as listed in the Alexandria database.

a b c (Å): 3.6728 3.6728 21.2929
angles (deg): 90.00 90.00 120.00
Space group R-3m (No. 166, hexagonal axes)
Asymmetric unit:
Hg1 0.0000 0.0000 0.0000
Ge1 0.0000 0.0000 0.2353
P1 0.0000 0.0000 0.5000

Properties
E_form   147 meV/atom
Calculated density   7.547 g/cm³
D(E_F)   4.7 states/eV per cell

Record 23
First-principles (GGA-PBE) data for HgGeP2 after structural relaxation, as listed in the Alexandria database.

a b c (Å): 6.710 6.710 6.710
angles (deg): 90.00 90.00 90.00
Space group Fm-3m (No. 225)
Asymmetric unit:
Hg1 0.000 0.000 0.000
Ge1 0.000 0.000 0.500
P1 0.250 0.250 0.250

Properties
E_form   651 meV/atom
Calculated density   7.370 g/cm³
D(E_F)   9.3 states/eV per cell

Record 24
First-principles (GGA-PBE) data for Hg2Ge2P after structural relaxation, as listed in the Alexandria database.

a b c (Å): 6.486 6.486 5.705
angles (deg): 90.00 90.00 90.00
Space group P4/mbm (No. 127)
Asymmetric unit:
Hg1 0.177 0.323 0.000
Ge1 0.147 0.353 0.500
P1 0.000 0.000 0.500

Properties
E_form   238 meV/atom
Calculated density   7.992 g/cm³
D(E_F)   3.3 states/eV per cell

Record 25
First-principles (GGA-PBE) data for Hg2GeP after structural relaxation, as listed in the Alexandria database.

a b c (Å): 6.546 6.546 10.028
angles (deg): 90.00 90.00 90.00
Space group I-42d (No. 122)
Asymmetric unit:
Hg1 0.228 0.250 0.125
Ge1 0.000 0.000 0.500
P1 0.000 0.000 0.000

Properties
E_form   451 meV/atom
Calculated density   7.803 g/cm³
D(E_F)   7.9 states/eV per cell

Record 26
First-principles (GGA-PBE) data for HgGe2P2 after structural relaxation, as listed in the Alexandria database.

a b c (Å): 4.097 4.097 14.390
angles (deg): 90.00 90.00 90.00
Space group I4/mmm (No. 139)
Asymmetric unit:
Hg1 0.000 0.000 0.000
Ge1 0.000 0.000 0.358
P1 0.000 0.500 0.250

Properties
E_form   310 meV/atom
Calculated density   5.607 g/cm³
D(E_F)   2.0 states/eV per cell

no.,calculated total energy (eV per cell),M_tot (Bohr magnetons per cell)
1,-26.80,0.00
2,-214.54,0.00
3,-57.29,1.24
4,-74.02,0.00
5,-50.15,0.00
6,-43.42,0.00
7,-23.27,0.00
8,-18.54,3.25
9,-16.12,1.82
10,-18.56,3.14
11,-65.39,0.00
12,-29.58,0.00
13,-16.11,2.32
14,-51.90,0.00
15,-7.99,0.62
16,-56.99,0.00
17,-38.47,0.00
18,-85.83,0.00
19,-7.44,1.98
20,-37.14,0.00
21,-16.23,0.00
22,-43.07,0.00
23,-52.54,0.00
24,-28.12,0.00
25,-35.31,0.00
26,-37.61,0.00